Record 1
Material: MnCrMo2
Method: DFT, GGA-PBE
State: optimized geometry

Structure (CIF):
```
data_MnCrMo2
_chemical_formula_sum 'Mn1 Cr1 Mo2'
_cell_length_a 4.959
_cell_length_b 4.959
_cell_length_c 4.345
_cell_angle_alpha 64.00
_cell_angle_beta 64.00
_cell_angle_gamma 36.07
_space_group_name_H-M_alt 'P 1'
_space_group_IT_number 1
_space_group_name_Hall 'P 1'
loop_
_atom_site_label
_atom_site_fract_x
_atom_site_fract_y
_atom_site_fract_z
_atom_site_occupancy
Mo1 0.006 0.006 0.994 1
Cr1 0.750 0.750 0.750 1
Mn1 0.250 0.250 0.250 1
Mo2 0.494 0.494 0.506 1
```

Results
Offset from the most stable computed form, meV/atom: 34
SG: Immm
Formation energy from the elements, meV/atom: 127
E_tot, eV/atom: -9.99


Record 2
Material: MnCrMo2
Method: DFT, GGA-PBE
State: optimized geometry

Structure (CIF):
```
data_MnCrMo2
_chemical_formula_sum 'Mn1 Cr1 Mo2'
_cell_length_a 4.274
_cell_length_b 2.634
_cell_length_c 4.982
_cell_angle_alpha 80.20
_cell_angle_beta 90.00
_cell_angle_gamma 90.00
_space_group_name_H-M_alt 'P 1'
_space_group_IT_number 1
_space_group_name_Hall 'P 1'
loop_
_atom_site_label
_atom_site_fract_x
_atom_site_fract_y
_atom_site_fract_z
_atom_site_occupancy
Mn1 0.500 0.750 0.748 1
Mo1 0.000 0.011 0.988 1
Mo2 0.500 0.250 0.262 1
Cr1 0.000 0.489 0.501 1
```

Results
Offset from the most stable computed form, meV/atom: 24
SG: Pm
Formation energy from the elements, meV/atom: 116
E_tot, eV/atom: -10.00


Record 3
Material: Mn2CrMo
Method: DFT, GGA-PBE
State: optimized geometry

Structure (CIF):
```
data_Mn2CrMo
_chemical_formula_sum 'Mn2 Cr1 Mo1'
_cell_length_a 4.811
_cell_length_b 4.811
_cell_length_c 4.113
_cell_angle_alpha 64.68
_cell_angle_beta 64.68
_cell_angle_gamma 35.59
_space_group_name_H-M_alt 'P 1'
_space_group_IT_number 1
_space_group_name_Hall 'P 1'
loop_
_atom_site_label
_atom_site_fract_x
_atom_site_fract_y
_atom_site_fract_z
_atom_site_occupancy
Mo1 0.495 0.495 0.505 1
Mn1 0.247 0.247 0.253 1
Mn2 0.009 0.009 0.991 1
Cr1 0.749 0.749 0.751 1
```

Results
Offset from the most stable computed form, meV/atom: 58
SG: Imm2
Formation energy from the elements, meV/atom: 147
E_tot, eV/atom: -9.55


Record 4
Material: MnCrMo
Method: DFT, GGA-PBE
State: optimized geometry

Structure (CIF):
```
data_MnCrMo
_chemical_formula_sum 'Mn1 Cr1 Mo1'
_cell_length_a 4.168
_cell_length_b 4.168
_cell_length_c 2.592
_cell_angle_alpha 90.00
_cell_angle_beta 90.00
_cell_angle_gamma 120.00
_space_group_name_H-M_alt 'P 1'
_space_group_IT_number 1
_space_group_name_Hall 'P 1'
loop_
_atom_site_label
_atom_site_fract_x
_atom_site_fract_y
_atom_site_fract_z
_atom_site_occupancy
Mn1 0.667 0.333 0.328 1
Cr1 0.000 0.000 0.994 1
Mo1 0.333 0.667 0.679 1
```

Results
Offset from the most stable computed form, meV/atom: 129
SG: P3m1
Formation energy from the elements, meV/atom: 143
E_tot, eV/atom: -9.73


Record 5
Material: MnCrMo
Method: DFT, GGA-PBE
State: optimized geometry

Structure (CIF):
```
data_MnCrMo
_chemical_formula_sum 'Mn1 Cr1 Mo1'
_cell_length_a 3.984
_cell_length_b 3.984
_cell_length_c 3.984
_cell_angle_alpha 60.00
_cell_angle_beta 60.00
_cell_angle_gamma 60.00
_space_group_name_H-M_alt 'P 1'
_space_group_IT_number 1
_space_group_name_Hall 'P 1'
loop_
_atom_site_label
_atom_site_fract_x
_atom_site_fract_y
_atom_site_fract_z
_atom_site_occupancy
Cr1 0.500 0.500 0.500 1
Mo1 0.000 0.000 0.000 1
Mn1 0.750 0.750 0.750 1
```

Results
Offset from the most stable computed form, meV/atom: 639
SG: F-43m
Formation energy from the elements, meV/atom: 653
E_tot, eV/atom: -9.22


Record 6
Material: MnCrMo
Method: DFT, GGA-PBE
State: optimized geometry

Structure (CIF):
```
data_MnCrMo
_chemical_formula_sum 'Mn2 Cr2 Mo2'
_cell_length_a 4.760
_cell_length_b 4.760
_cell_length_c 4.760
_cell_angle_alpha 89.29
_cell_angle_beta 59.78
_cell_angle_gamma 118.97
_space_group_name_H-M_alt 'P 1'
_space_group_IT_number 1
_space_group_name_Hall 'P 1'
loop_
_atom_site_label
_atom_site_fract_x
_atom_site_fract_y
_atom_site_fract_z
_atom_site_occupancy
Mn1 0.500 0.000 0.000 1
Cr1 0.500 0.500 0.000 1
Cr2 0.000 0.500 0.500 1
Mn2 0.000 0.500 0.000 1
Mo1 0.750 0.873 0.377 1
Mo2 0.250 0.127 0.623 1
```

Results
Offset from the most stable computed form, meV/atom: 0
SG: Imma
Formation energy from the elements, meV/atom: 14
E_tot, eV/atom: -9.86